1) VASP calculation (PBE) on a relaxed TaZn2Cu crystal.

Summary:
Spin magnetization = 0.0 μB/f.u.

The structure in POSCAR format:
```
TaZn2Cu
1.0
-2.046 1.441 1.349
-1.697 -0.293 -2.261
-2.562 -6.191 2.726
Zn Cu Ta
2 1 1
Direct
0.000 0.000 0.027 Zn
0.000 0.000 0.473 Zn
0.500 0.500 0.250 Cu
0.500 0.500 0.750 Ta
```


2) VASP calculation (PBE) on a relaxed TaZn2Cu crystal.

Summary:
Spin magnetization = 0.0 μB/f.u.

The structure in POSCAR format:
```
TaZn2Cu
1.0
-3.026 -2.748 0.422
1.139 -1.550 -1.932
3.428 -3.354 2.747
Cu Ta Zn
1 1 2
Direct
0.000 0.306 0.510 Cu
0.500 0.697 0.727 Ta
0.000 0.052 0.019 Zn
0.500 0.444 0.245 Zn
```


So which one wins? Going from most stable to least: 1), 2).


1) VASP calculation (PBE) on a relaxed TaZn2Cu crystal.

Summary:
Spin magnetization = 0.0 μB/f.u.

The structure in POSCAR format:
```
TaZn2Cu
1.0
2.855 0.025 0.000
-0.023 2.855 0.000
0.000 0.000 7.226
Zn Cu Ta
2 1 1
Direct
0.000 0.000 0.015 Zn
0.500 0.500 0.262 Zn
0.000 0.000 0.481 Cu
0.500 0.500 0.741 Ta
```


2) VASP calculation (PBE) on a relaxed TaZn2Cu crystal.

Summary:
Spin magnetization = 0.0 μB/f.u.

The structure in POSCAR format:
```
TaZn2Cu
1.0
-2.945 -4.363 -4.479
5.137 1.135 -4.483
2.469 -3.631 -3.419
Zn Cu Ta
4 2 2
Direct
0.596 0.125 0.250 Zn
0.154 0.625 0.250 Zn
0.375 0.404 0.750 Zn
0.875 0.846 0.750 Zn
0.500 0.500 0.000 Cu
0.250 0.750 0.500 Cu
0.000 0.000 0.000 Ta
0.750 0.250 0.500 Ta
```


So which one wins? Going from most stable to least: 1), 2).


1) VASP calculation (PBE) on a relaxed TaZn3Cu crystal.

Summary:
Spin magnetization = 0.0 μB/f.u.

The structure in POSCAR format:
```
TaZn3Cu
1.0
-0.738 -3.025 3.949
4.332 -2.352 -0.992
2.444 3.256 2.952
Zn Cu Ta
3 1 1
Direct
0.000 0.500 0.000 Zn
0.000 0.000 0.500 Zn
0.500 0.000 0.000 Zn
0.500 0.500 0.500 Cu
0.000 0.000 0.000 Ta
```


2) VASP calculation (PBE) on a relaxed TaZn3Cu crystal.

Summary:
Spin magnetization = 0.0 μB/f.u.

The structure in POSCAR format:
```
TaZn3Cu
1.0
4.380 0.000 0.000
0.000 4.380 0.000
0.000 0.000 4.380
Zn Cu Ta
3 1 1
Direct
0.000 0.500 0.000 Zn
0.000 0.000 0.500 Zn
0.500 0.000 0.000 Zn
0.000 0.000 0.000 Cu
0.500 0.500 0.500 Ta
```


So which one wins? Going from most stable to least: 2), 1).


1) VASP calculation (PBE) on a relaxed ZrTaCu crystal.

Summary:
Spin magnetization = 0.0 μB/f.u.

The structure in POSCAR format:
```
ZrTaCu
1.0
4.520 0.000 0.000
2.260 3.914 0.000
2.260 1.305 6.211
Cu Zr Ta
2 2 2
Direct
0.063 0.063 0.812 Cu
0.937 0.937 0.188 Cu
0.614 0.614 0.158 Zr
0.386 0.386 0.842 Zr
0.199 0.199 0.404 Ta
0.801 0.801 0.596 Ta
```


2) VASP calculation (PBE) on a relaxed ZrTaCu crystal.

Summary:
Spin magnetization = 0.0 μB/f.u.

The structure in POSCAR format:
```
ZrTaCu
1.0
-3.499 2.548 0.585
-3.897 -1.795 0.818
-1.788 0.376 3.967
Cu Ta Zr
1 1 1
Direct
0.750 0.750 0.750 Cu
0.000 0.000 0.000 Ta
0.500 0.500 0.500 Zr
```


So which one wins? Going from most stable to least: 1), 2).


1) VASP calculation (PBE) on a relaxed ZrTaCu crystal.

Summary:
Spin magnetization = 0.0 μB/f.u.

The structure in POSCAR format:
```
ZrTaCu
1.0
2.935 0.000 0.000
-1.467 2.542 0.000
0.000 0.000 7.271
Cu Ta Zr
1 1 1
Direct
0.000 0.000 0.009 Cu
0.667 0.333 0.309 Ta
0.333 0.667 0.682 Zr
```


2) VASP calculation (PBE) on a relaxed ZrTaCu crystal.

Summary:
Spin magnetization = 0.0 μB/f.u.

The structure in POSCAR format:
```
ZrTaCu
1.0
-3.336 5.530 0.811
-5.881 2.331 1.530
5.141 -3.904 0.835
Cu Ta Zr
1 1 1
Direct
0.994 0.994 0.000 Cu
0.347 0.347 0.000 Ta
0.660 0.660 0.000 Zr
```


So which one wins? Going from most stable to least: 2), 1).


1) VASP calculation (PBE) on a relaxed ZrTa2Cu2 crystal.

Summary:
Spin magnetization = 0.0 μB/f.u.

The structure in POSCAR format:
```
ZrTa2Cu2
1.0
-7.176 -1.612 -0.733
1.504 -3.935 -6.073
0.387 -2.508 1.721
Cu Zr Ta
4 2 4
Direct
0.381 0.881 0.000 Cu
0.881 0.619 0.000 Cu
0.619 0.119 0.000 Cu
0.119 0.381 0.000 Cu
0.000 0.000 0.000 Zr
0.500 0.500 0.000 Zr
0.175 0.675 0.500 Ta
0.675 0.825 0.500 Ta
0.825 0.325 0.500 Ta
0.325 0.175 0.500 Ta
```


2) VASP calculation (PBE) on a relaxed ZrTa2Cu2 crystal.

Summary:
Spin magnetization = 0.0 μB/f.u.

The structure in POSCAR format:
```
ZrTa2Cu2
1.0
3.906 0.000 0.000
0.000 3.906 0.000
1.953 1.953 5.770
Cu Zr Ta
2 1 2
Direct
0.402 0.402 0.196 Cu
0.598 0.598 0.804 Cu
0.000 0.000 0.000 Zr
0.750 0.250 0.500 Ta
0.250 0.750 0.500 Ta
```


So which one wins? Going from most stable to least: 1), 2).


1) VASP calculation (PBE) on a relaxed Zr3TaCu crystal.

Summary:
Spin magnetization = 0.0 μB/f.u.

The structure in POSCAR format:
```
Zr3TaCu
1.0
-3.691 2.299 -2.678
2.401 -1.205 -4.344
-2.587 -4.398 -0.210
Cu Zr Ta
1 3 1
Direct
0.500 0.500 0.500 Cu
0.000 0.500 0.000 Zr
0.000 0.000 0.500 Zr
0.500 0.000 0.000 Zr
0.000 0.000 0.000 Ta
```


2) VASP calculation (PBE) on a relaxed Zr3TaCu crystal.

Summary:
Spin magnetization = 0.0 μB/f.u.

The structure in POSCAR format:
```
Zr3TaCu
1.0
4.858 0.000 0.000
0.000 4.858 0.000
0.000 0.000 4.858
Cu Zr Ta
1 3 1
Direct
0.000 0.000 0.000 Cu
0.000 0.500 0.000 Zr
0.000 0.000 0.500 Zr
0.500 0.000 0.000 Zr
0.500 0.500 0.500 Ta
```


So which one wins? Going from most stable to least: 2), 1).


1) VASP calculation (PBE) on a relaxed ZrTa3Cu crystal.

Summary:
Spin magnetization = 0.0 μB/f.u.

The structure in POSCAR format:
```
ZrTa3Cu
1.0
-1.289 -4.662 -0.637
0.016 -0.664 4.833
-4.705 1.275 0.191
Cu Zr Ta
1 1 3
Direct
0.500 0.500 0.500 Cu
0.000 0.000 0.000 Zr
0.000 0.500 0.000 Ta
0.000 0.000 0.500 Ta
0.500 0.000 0.000 Ta
```


2) VASP calculation (PBE) on a relaxed ZrTa3Cu crystal.

Summary:
Spin magnetization = 0.0 μB/f.u.

The structure in POSCAR format:
```
ZrTa3Cu
1.0
4.693 0.000 0.000
0.000 4.693 0.000
0.000 0.000 4.693
Cu Zr Ta
1 1 3
Direct
0.000 0.000 0.000 Cu
0.500 0.500 0.500 Zr
0.000 0.500 0.000 Ta
0.000 0.000 0.500 Ta
0.500 0.000 0.000 Ta
```


So which one wins? Going from most stable to least: 2), 1).